(1)
Compound: KRh4Pb
Source: Alexandria via LeMat-Bulk
Functional: GGA-PBE
Structure: relaxed

Summary:
space group: F-43m
electronic total energy: -32.33 eV per formula unit
Fermi-level density of states: 10.13 states/eV/cell

Cell: 5.3947 5.3947 5.3947 Å, 60.00 60.00 60.00°
Last column: nearest neighbours and their distance in Å.
Atoms (fractional coordinates):
K  0.7500  0.7500  0.7500  12 Rh 3.16, 4 Pb 3.30
Rh  0.8770  0.3743  0.3743  6 Rh 2.68-2.71
Rh  0.3743  0.3743  0.8770  6 Rh 2.68-2.71
Rh  0.3743  0.8770  0.3743  6 Rh 2.68-2.71
Rh  0.3743  0.3743  0.3743  6 Rh 2.68-2.71
Pb  0.0000  0.0000  0.0000  12 Rh 3.16, 4 K 3.30


(2)
Compound: KRh2Pb8
Source: Alexandria via LeMat-Bulk
Functional: GGA-PBE
Structure: relaxed

Summary:
space group: P4/mmm
electronic total energy: -45.06 eV per formula unit
Fermi-level density of states: 6.78 states/eV/cell

Cell: 6.6366 6.6366 9.1394 Å, 90.00 90.00 90.00°
Last column: nearest neighbours and their distance in Å.
Atoms (fractional coordinates):
K  0.5000  0.5000  0.5000  8 Pb 3.77
Rh  0.5000  0.0000  0.0000  8 Pb 2.87
Rh  0.0000  0.5000  0.0000  8 Pb 2.87
Pb  0.7535  0.7535  0.1804  2 Rh 2.87
Pb  0.7535  0.2465  0.8196  2 Rh 2.87
Pb  0.7535  0.7535  0.8196  2 Rh 2.87
Pb  0.7535  0.2465  0.1804  2 Rh 2.87
Pb  0.2465  0.7535  0.1804  2 Rh 2.87
Pb  0.2465  0.7535  0.8196  2 Rh 2.87
Pb  0.2465  0.2465  0.1804  2 Rh 2.87
Pb  0.2465  0.2465  0.8196  2 Rh 2.87